[1]
{
  "formula": "K2ZrAg2S4",
  "functional": "GGA-PBE",
  "state": "optimized geometry",
  "sg": "C2/m, No. 12",
  "e_form_raw_kj_per_mol_atoms": -94,
  "rho_kg_m3": 4035,
  "cell": [[7.4288, -1.9826, 0.0000], [7.4288, 1.9826, 0.0000], [-2.7485, 0.0000, 7.1721]],
  "species": ["K", "K", "Zr", "Ag", "Ag", "S", "S", "S", "S"],
  "frac_coords": [[0.1374, 0.1374, 0.0668], [0.8626, 0.8626, 0.9332], [0.0000, 0.0000, 0.5000], [0.3227, 0.3227, 0.5242], [0.6773, 0.6773, 0.4758], [0.1872, 0.1872, 0.6952], [0.4962, 0.4962, 0.7305], [0.5038, 0.5038, 0.2695], [0.8128, 0.8128, 0.3048]]
}

***

[2]
{
  "formula": "DyScPtRh",
  "functional": "GGA-PBE",
  "state": "optimized geometry",
  "sg": "F-43m, No. 216",
  "relative_energy_mev_per_atom": 26,
  "formation_enthalpy_0k_mev_per_atom": -1053,
  "rho_kg_m3": 10989,
  "cell": [[0.0000, 3.3676, 3.3676], [3.3676, 0.0000, 3.3676], [3.3676, 3.3676, 0.0000]],
  "species": ["Dy", "Sc", "Pt", "Rh"],
  "frac_coords": [[0.0000, 0.0000, 0.0000], [0.5000, 0.5000, 0.5000], [0.7500, 0.7500, 0.7500], [0.2500, 0.2500, 0.2500]]
}